No. 1
The following is a DFT calculation (PBE-GGA) of crystalline Tb4Sm3Er at its relaxed geometry.

Structure (CIF):
```
data_Tb4Sm3Er
_chemical_formula_sum 'Tb8 Sm6 Er2'
_symmetry_space_group_name_H-M 'P m n 21'
_symmetry_Int_Tables_number 31
_cell_length_a 11.415
_cell_length_b 7.304
_cell_length_c 6.311
_cell_angle_alpha 90.00
_cell_angle_beta 90.00
_cell_angle_gamma 90.00
loop_
_symmetry_equiv_pos_as_xyz
'x,y,z'
'-x+1/2,-y,z+1/2'
'-x,y,z'
'x+1/2,-y,z+1/2'
loop_
_atom_site_label
_atom_site_type_symbol
_atom_site_fract_x
_atom_site_fract_y
_atom_site_fract_z
Tb1 Tb 0.000 0.123 0.000
Tb2 Tb 0.000 0.875 0.502
Tb3 Tb 0.248 0.124 0.334
Sm1 Sm 0.000 0.626 0.001
Sm2 Sm 0.250 0.375 0.833
Er1 Er 0.000 0.373 0.500
```

Energy relative to the lowest polymorph listed for this composition   0.0 kJ/mol of atoms
Spin magnetization   0.00 Bohr magnetons per cell

No. 2
The following is a DFT calculation (PBE-GGA) of crystalline Tb6SmEr4 at its relaxed geometry.

Structure (CIF):
```
data_Tb6SmEr4
_chemical_formula_sum 'Tb12 Sm2 Er8'
_symmetry_space_group_name_H-M 'I -4 2 m'
_symmetry_Int_Tables_number 121
_symmetry_space_group_name_Hall 'I -4 2'
_cell_length_a 7.472
_cell_length_b 7.472
_cell_length_c 13.404
_cell_angle_alpha 90.00
_cell_angle_beta 90.00
_cell_angle_gamma 90.00
loop_
_atom_site_label
_atom_site_type_symbol
_atom_site_fract_x
_atom_site_fract_y
_atom_site_fract_z
Tb1 Tb 0.000 0.500 0.000
Tb2 Tb 0.233 0.233 0.186
Sm1 Sm 0.000 0.000 0.000
Er1 Er 0.162 0.162 0.419
```

Energy relative to the lowest polymorph listed for this composition   28.6 kJ/mol of atoms
Spin magnetization   0.00 Bohr magnetons per cell

No. 3
The following is a DFT calculation (PBE-GGA) of crystalline Tb5Sm3Er2 at its relaxed geometry.

Structure (CIF):
```
data_Tb5Sm3Er2
_chemical_formula_sum 'Tb20 Sm12 Er8'
_symmetry_space_group_name_H-M 'C 1 2/c 1'
_symmetry_Int_Tables_number 15
_cell_length_a 10.710
_cell_length_b 15.748
_cell_length_c 9.477
_cell_angle_alpha 90.00
_cell_angle_beta 124.05
_cell_angle_gamma 90.00
loop_
_symmetry_equiv_pos_as_xyz
'x,y,z'
'-x,-y,-z'
'-x,y,-z+1/2'
'x,-y,z+1/2'
'x+1/2,y+1/2,z'
'-x+1/2,-y+1/2,-z'
'-x+1/2,y+1/2,-z+1/2'
'x+1/2,-y+1/2,z+1/2'
loop_
_atom_site_label
_atom_site_type_symbol
_atom_site_fract_x
_atom_site_fract_y
_atom_site_fract_z
Tb1 Tb 0.000 0.026 0.250
Tb2 Tb 0.000 0.272 0.750
Tb3 Tb 0.000 0.469 0.750
Tb4 Tb 0.233 0.385 0.220
Sm1 Sm 0.000 0.233 0.250
Sm2 Sm 0.142 0.125 0.046
Er1 Er 0.156 0.382 0.547
```

Energy relative to the lowest polymorph listed for this composition   0.0 kJ/mol of atoms
Spin magnetization   0.00 Bohr magnetons per cell

No. 4
The following is a DFT calculation (PBE-GGA) of crystalline Tb2Sm5Er6 at its relaxed geometry.

Structure (CIF):
```
data_Tb2Sm5Er6
_chemical_formula_sum 'Tb4 Sm10 Er12'
_symmetry_space_group_name_H-M 'P b a m'
_symmetry_Int_Tables_number 55
_cell_length_a 11.608
_cell_length_b 20.371
_cell_length_c 3.571
_cell_angle_alpha 90.00
_cell_angle_beta 90.00
_cell_angle_gamma 90.00
loop_
_symmetry_equiv_pos_as_xyz
'x,y,z'
'-x,-y,-z'
'-x,-y,z'
'x,y,-z'
'x+1/2,-y+1/2,-z'
'-x+1/2,y+1/2,z'
'-x+1/2,y+1/2,-z'
'x+1/2,-y+1/2,z'
loop_
_atom_site_label
_atom_site_type_symbol
_atom_site_fract_x
_atom_site_fract_y
_atom_site_fract_z
Tb1 Tb 0.171 0.211 0.000
Sm1 Sm 0.000 0.500 0.500
Sm2 Sm 0.085 0.773 0.500
Sm3 Sm 0.199 0.050 0.500
Er1 Er 0.060 0.919 0.000
Er2 Er 0.081 0.631 0.000
Er3 Er 0.175 0.363 0.500
```

Spin magnetization   0.00 Bohr magnetons per cell

No. 5
The following is a DFT calculation (PBE-GGA) of crystalline Tb5Sm2Er4 at its relaxed geometry.

Structure (CIF):
```
data_Tb5Sm2Er4
_chemical_formula_sum 'Tb5 Sm2 Er4'
_symmetry_space_group_name_H-M 'P -1'
_symmetry_Int_Tables_number 2
_cell_length_a 3.550
_cell_length_b 8.701
_cell_length_c 11.781
_cell_angle_alpha 75.82
_cell_angle_beta 81.39
_cell_angle_gamma 89.99
loop_
_symmetry_equiv_pos_as_xyz
'x,y,z'
'-x,-y,-z'
loop_
_atom_site_label
_atom_site_type_symbol
_atom_site_fract_x
_atom_site_fract_y
_atom_site_fract_z
Tb1 Tb 0.000 0.000 0.000
Tb2 Tb 0.273 0.184 0.455
Tb3 Tb 0.363 0.907 0.273
Sm1 Sm 0.090 0.726 0.819
Er1 Er 0.182 0.454 0.636
Er2 Er 0.454 0.636 0.093
```

Energy relative to the lowest polymorph listed for this composition   0.0 kJ/mol of atoms
Spin magnetization   0.00 Bohr magnetons per cell

No. 6
The following is a DFT calculation (PBE-GGA) of crystalline Tb3Sm4Er2 at its relaxed geometry.

Structure (CIF):
```
data_Tb3Sm4Er2
_chemical_formula_sum 'Tb12 Sm16 Er8'
_symmetry_space_group_name_H-M 'C 1 2/c 1'
_symmetry_Int_Tables_number 15
_cell_length_a 16.893
_cell_length_b 9.801
_cell_length_c 7.035
_cell_angle_alpha 90.00
_cell_angle_beta 90.04
_cell_angle_gamma 90.00
loop_
_symmetry_equiv_pos_as_xyz
'x,y,z'
'-x,-y,-z'
'-x,y,-z+1/2'
'x,-y,z+1/2'
'x+1/2,y+1/2,z'
'-x+1/2,-y+1/2,-z'
'-x+1/2,y+1/2,-z+1/2'
'x+1/2,-y+1/2,z+1/2'
loop_
_atom_site_label
_atom_site_type_symbol
_atom_site_fract_x
_atom_site_fract_y
_atom_site_fract_z
Tb1 Tb 0.000 0.000 0.250
Tb2 Tb 0.170 0.500 0.250
Sm1 Sm 0.012 0.335 0.000
Sm2 Sm 0.172 0.152 0.000
Er1 Er 0.161 0.182 0.500
```

Energy relative to the lowest polymorph listed for this composition   4.0 kJ/mol of atoms
Spin magnetization   0.00 Bohr magnetons per cell

no.,energy of formation (meV/atom),E_tot (eV per atom),Fermi-level density of states (states/eV per atom)
1,18.4,-4.64,1.696
2,420.8,-4.19,1.403
3,196.0,-4.45,1.820
4,95.7,-4.54,1.219
5,17.8,-4.60,1.310
6,57.3,-4.60,1.480